(1)
A geometry-optimized VSi3O structure. Source: Alexandria via LeMat-Bulk, functional GGA+U.

```
VSi3O
1.0
4.6176 0.0000 0.0000
0.0000 4.6176 0.0000
0.0000 0.0000 4.6176
V Si O
1 3 1
Direct
0.0000 0.0000 0.0000 V
0.0000 0.0000 0.5000 Si
0.0000 0.5000 0.0000 Si
0.5000 0.0000 0.0000 Si
0.5000 0.5000 0.5000 O
```

Summary:
For the calculated total energy, the calculation gives -4.60 eV/atom. The value obtained for the excess energy over the best structure of this formula in the dataset is 877.8 meV/atom.

(2)
A geometry-optimized VSiO2 structure. Source: Alexandria via LeMat-Bulk, functional GGA+U.

```
VSiO2
1.0
2.7360 0.0000 0.0000
-1.3680 2.3695 0.0000
0.0000 0.0000 28.6871
V Si O
3 3 6
Direct
0.0000 0.0000 0.0000 V
0.3333 0.6667 0.6667 V
0.6667 0.3333 0.3333 V
0.0000 0.0000 0.5000 Si
0.3333 0.6667 0.1667 Si
0.6667 0.3333 0.8333 Si
0.0000 0.0000 0.1351 O
0.0000 0.0000 0.8649 O
0.3333 0.6667 0.5315 O
0.3333 0.6667 0.8018 O
0.6667 0.3333 0.1982 O
0.6667 0.3333 0.4685 O
```

Summary:
For the calculated total energy, the calculation gives -6.79 eV/atom.

(3)
A geometry-optimized V2SiO4 structure. Source: Alexandria via LeMat-Bulk, functional GGA+U.

```
V2SiO4
1.0
0.0000 4.2087 4.2087
4.2087 0.0000 4.2087
4.2087 4.2087 0.0000
V Si O
4 2 8
Direct
0.0000 0.0000 0.0000 V
0.0000 0.0000 0.5000 V
0.0000 0.5000 0.0000 V
0.5000 0.0000 0.0000 V
0.3750 0.3750 0.3750 Si
0.6250 0.6250 0.6250 Si
0.2601 0.2601 0.2601 O
0.2601 0.2601 0.7196 O
0.2601 0.7196 0.2601 O
0.2804 0.7399 0.7399 O
0.7196 0.2601 0.2601 O
0.7399 0.2804 0.7399 O
0.7399 0.7399 0.2804 O
0.7399 0.7399 0.7399 O
```

Summary:
For the calculated total energy, the calculation gives -7.86 eV/atom. The value obtained for the excess energy over the best structure of this formula in the dataset is 69.1 meV/atom.

(4)
A geometry-optimized V2SiO5 structure. Source: Alexandria via LeMat-Bulk, functional GGA+U.

```
V2SiO5
1.0
0.0000 3.8819 6.2853
3.8588 0.0000 6.2853
3.8588 3.8819 0.0000
V Si O
4 2 10
Direct
0.0000 0.0000 0.0000 V
0.0000 0.0000 0.5000 V
0.0000 0.5000 0.0000 V
0.5000 0.0000 0.0000 V
0.3750 0.3750 0.3750 Si
0.6250 0.6250 0.6250 Si
0.1250 0.1250 0.1250 O
0.1884 0.6989 0.3069 O
0.3011 0.8116 0.6942 O
0.3058 0.3069 0.6989 O
0.3069 0.3058 0.1884 O
0.6931 0.6942 0.8116 O
0.6942 0.6931 0.3011 O
0.6989 0.1884 0.3058 O
0.8116 0.3011 0.6931 O
0.8750 0.8750 0.8750 O
```

Summary:
For the calculated total energy, the calculation gives -7.98 eV/atom.

(5)
A geometry-optimized VSiO2 structure. Source: Alexandria via LeMat-Bulk, functional GGA+U.

```
VSiO2
1.0
3.0131 0.0000 0.0000
-1.5065 2.6094 0.0000
0.0000 0.0000 17.5567
V Si O
3 3 6
Direct
0.0000 0.0000 0.0000 V
0.3333 0.6667 0.6667 V
0.6667 0.3333 0.3333 V
0.0000 0.0000 0.5000 Si
0.3333 0.6667 0.1667 Si
0.6667 0.3333 0.8333 Si
0.0000 0.0000 0.4010 O
0.0000 0.0000 0.5990 O
0.3333 0.6667 0.0677 O
0.3333 0.6667 0.2657 O
0.6667 0.3333 0.7343 O
0.6667 0.3333 0.9323 O
```

Summary:
For the calculated total energy, the calculation gives -7.17 eV/atom.

(6)
A geometry-optimized VSiO2 structure. Source: Alexandria via LeMat-Bulk, functional GGA+U.

```
VSiO2
1.0
2.8819 0.0000 0.0000
-1.4410 2.4958 0.0000
0.0000 0.0000 19.7116
V Si O
3 3 6
Direct
0.0000 0.0000 0.0000 V
0.3333 0.6667 0.6667 V
0.6667 0.3333 0.3333 V
0.0000 0.0000 0.5000 Si
0.3333 0.6667 0.1667 Si
0.6667 0.3333 0.8333 Si
0.0000 0.0000 0.1211 O
0.0000 0.0000 0.8789 O
0.3333 0.6667 0.5456 O
0.3333 0.6667 0.7878 O
0.6667 0.3333 0.2122 O
0.6667 0.3333 0.4544 O
```

Summary:
For the calculated total energy, the calculation gives -6.75 eV/atom.

(7)
A geometry-optimized VSi2O6 structure. Source: Alexandria via LeMat-Bulk, functional GGA+U.

```
VSi2O6
1.0
5.3397 0.0000 0.0000
0.0000 18.0026 0.0000
0.0000 0.0000 8.8118
V Si O
8 16 48
Direct
0.1103 0.1259 0.1475 V
0.1103 0.3741 0.6475 V
0.3897 0.6259 0.1475 V
0.3897 0.8741 0.6475 V
0.6103 0.1259 0.3525 V
0.6103 0.3741 0.8525 V
0.8897 0.6259 0.3525 V
0.8897 0.8741 0.8525 V
0.0539 0.7240 0.6650 Si
0.0539 0.7760 0.1650 Si
0.2098 0.0246 0.8342 Si
0.2098 0.4754 0.3342 Si
0.2902 0.5246 0.8342 Si
0.2902 0.9754 0.3342 Si
0.4461 0.2240 0.6650 Si
0.4461 0.2760 0.1650 Si
0.5539 0.7240 0.8350 Si
0.5539 0.7760 0.3350 Si
0.7098 0.0246 0.6658 Si
0.7098 0.4754 0.1658 Si
0.7902 0.5246 0.6658 Si
0.7902 0.9754 0.1658 Si
0.9461 0.2240 0.8350 Si
0.9461 0.2760 0.3350 Si
0.0131 0.6933 0.4935 O
0.0131 0.8067 0.9935 O
0.0430 0.5545 0.7473 O
0.0430 0.9455 0.2473 O
0.0692 0.6832 0.1800 O
0.0692 0.8168 0.6800 O
0.1810 0.1951 0.7334 O
0.1810 0.3049 0.2334 O
0.2073 0.5678 0.3182 O
0.2073 0.9322 0.8182 O
0.2165 0.0566 0.0072 O
0.2165 0.4434 0.5072 O
0.2835 0.5566 0.0072 O
0.2835 0.9434 0.5072 O
0.2927 0.0678 0.3182 O
0.2927 0.4322 0.8182 O
0.3190 0.6951 0.7334 O
0.3190 0.8049 0.2334 O
0.4308 0.1832 0.1800 O
0.4308 0.3168 0.6800 O
0.4570 0.0545 0.7473 O
0.4570 0.4455 0.2473 O
0.4869 0.1933 0.4935 O
0.4869 0.3067 0.9935 O
0.5131 0.6933 0.0065 O
0.5131 0.8067 0.5065 O
0.5430 0.5545 0.7527 O
0.5430 0.9455 0.2527 O
0.5692 0.6832 0.3200 O
0.5692 0.8168 0.8200 O
0.6810 0.1951 0.7666 O
0.6810 0.3049 0.2666 O
0.7073 0.5678 0.1818 O
0.7073 0.9322 0.6818 O
0.7165 0.0566 0.4928 O
0.7165 0.4434 0.9928 O
0.7835 0.5566 0.4928 O
0.7835 0.9434 0.9928 O
0.7927 0.0678 0.1818 O
0.7927 0.4322 0.6818 O
0.8190 0.6951 0.7666 O
0.8190 0.8049 0.2666 O
0.9308 0.1832 0.3200 O
0.9308 0.3168 0.8200 O
0.9570 0.0545 0.7527 O
0.9570 0.4455 0.2527 O
0.9869 0.1933 0.0065 O
0.9869 0.3067 0.5065 O
```

Summary:
For the calculated total energy, the calculation gives -7.80 eV/atom. The value obtained for the excess energy over the best structure of this formula in the dataset is 4.0 meV/atom.

(8)
A geometry-optimized VSiO2 structure. Source: Alexandria via LeMat-Bulk, functional GGA+U.

```
VSiO2
1.0
5.0669 0.0000 0.0000
0.0000 5.0669 0.0000
0.0000 0.0000 8.9840
V Si O
4 4 8
Direct
0.0000 0.0000 0.0000 V
0.0000 0.5000 0.2500 V
0.5000 0.0000 0.7500 V
0.5000 0.5000 0.5000 V
0.0000 0.0000 0.5000 Si
0.0000 0.5000 0.7500 Si
0.5000 0.0000 0.2500 Si
0.5000 0.5000 0.0000 Si
0.1943 0.2500 0.1250 O
0.2500 0.6943 0.3750 O
0.2500 0.8057 0.8750 O
0.3057 0.2500 0.6250 O
0.6943 0.7500 0.6250 O
0.7500 0.1943 0.8750 O
0.7500 0.3057 0.3750 O
0.8057 0.7500 0.1250 O
```

Summary:
For the calculated total energy, the calculation gives -6.51 eV/atom.

(9)
A geometry-optimized VSi3O structure. Source: Alexandria via LeMat-Bulk, functional GGA+U.

```
VSi3O
1.0
4.0803 0.0000 0.0000
0.0000 4.0803 0.0000
0.0000 0.0000 4.0803
V Si O
1 3 1
Direct
0.0000 0.0000 0.0000 V
0.0000 0.5000 0.5000 Si
0.5000 0.0000 0.5000 Si
0.5000 0.5000 0.0000 Si
0.5000 0.5000 0.5000 O
```

Summary:
For the calculated total energy, the calculation gives -5.48 eV/atom. The value obtained for the excess energy over the best structure of this formula in the dataset is 0.0 meV/atom.

(10)
A geometry-optimized VSi2O6 structure. Source: Alexandria via LeMat-Bulk, functional GGA+U.

```
VSi2O6
1.0
4.8015 -4.3998 0.0000
4.8015 4.3998 0.0000
-1.8225 0.0000 5.0458
V Si O
2 4 12
Direct
0.1018 0.8982 0.7500 V
0.8982 0.1018 0.2500 V
0.2156 0.3841 0.7507 Si
0.3841 0.2156 0.2507 Si
0.6159 0.7844 0.7493 Si
0.7844 0.6159 0.2493 Si
0.0463 0.1844 0.6363 O
0.1055 0.6203 0.7771 O
0.1844 0.0463 0.1363 O
0.3507 0.3662 0.0429 O
0.3662 0.3507 0.5429 O
0.3797 0.8945 0.7229 O
0.6203 0.1055 0.2771 O
0.6338 0.6493 0.4571 O
0.6493 0.6338 0.9571 O
0.8156 0.9537 0.8637 O
0.8945 0.3797 0.2229 O
0.9537 0.8156 0.3637 O
```

Summary:
For the calculated total energy, the calculation gives -7.80 eV/atom. The value obtained for the excess energy over the best structure of this formula in the dataset is 0.0 meV/atom.

(11)
A geometry-optimized VZnSiO2 structure. Source: Alexandria via LeMat-Bulk, functional GGA+U.

```
VZnSiO2
1.0
3.6870 0.0000 0.0000
0.0000 3.6870 0.0000
0.0000 0.0000 5.4637
V Zn Si O
1 1 1 2
Direct
0.0000 0.0000 0.0000 V
0.0000 0.0000 0.5000 Zn
0.5000 0.5000 0.5000 Si
0.0000 0.5000 0.0000 O
0.5000 0.0000 0.0000 O
```

Summary:
For the calculated total energy, the calculation gives -5.27 eV/atom.

(12)
A geometry-optimized ZrVSi2O8 structure. Source: Alexandria via LeMat-Bulk, functional GGA+U.

```
ZrVSi2O8
1.0
-3.2942 3.2942 2.9592
3.2942 -3.2942 2.9592
3.2942 3.2942 -2.9592
Zr V Si O
1 1 2 8
Direct
0.0000 0.0000 0.0000 Zr
0.7500 0.2500 0.5000 V
0.2500 0.7500 0.5000 Si
0.5000 0.5000 0.0000 Si
0.0586 0.3803 0.3217 O
0.0586 0.7369 0.6783 O
0.1300 0.3177 0.8123 O
0.2631 0.9414 0.3217 O
0.5055 0.3177 0.1877 O
0.6197 0.9414 0.6783 O
0.6823 0.4945 0.8123 O
0.6823 0.8700 0.1877 O
```

Summary:
For the calculated total energy, the calculation gives -8.15 eV/atom.

(13)
A geometry-optimized Zr2VSiO structure. Source: Alexandria via LeMat-Bulk, functional GGA+U.

```
Zr2VSiO
1.0
4.9860 0.0000 0.0000
0.0000 4.9860 0.0000
0.0000 0.0000 4.4999
Zr V Si O
2 1 1 1
Direct
0.0000 0.5000 0.0000 Zr
0.5000 0.0000 0.0000 Zr
0.0000 0.0000 0.5000 V
0.0000 0.0000 0.0000 Si
0.5000 0.5000 0.5000 O
```

Summary:
For the calculated total energy, the calculation gives -6.13 eV/atom.

(14)
A geometry-optimized SiWO structure. Source: Alexandria via LeMat-Bulk, functional GGA+U.

```
SiWO
1.0
13.2687 0.0000 0.0000
0.0000 2.6372 0.0000
0.0000 0.0000 5.3921
Si W O
4 4 4
Direct
0.0000 0.0000 0.0000 Si
0.0000 0.5000 0.5000 Si
0.5000 0.0000 0.3049 Si
0.5000 0.5000 0.8049 Si
0.3451 0.0000 0.9882 W
0.3451 0.5000 0.4882 W
0.6549 0.0000 0.9882 W
0.6549 0.5000 0.4882 W
0.0859 0.0000 0.4999 O
0.0859 0.5000 0.9999 O
0.9141 0.0000 0.4999 O
0.9141 0.5000 0.9999 O
```

Summary:
For the calculated total energy, the calculation gives -5.92 eV/atom.

(15)
A geometry-optimized SiW2O structure. Source: Alexandria via LeMat-Bulk, functional GGA+U.

```
SiW2O
1.0
5.3200 0.0000 0.0000
0.0000 5.3200 0.0000
0.0000 0.0000 10.5424
Si W O
4 8 4
Direct
0.0000 0.0000 0.0000 Si
0.0000 0.5000 0.2500 Si
0.5000 0.0000 0.7500 Si
0.5000 0.5000 0.5000 Si
0.1869 0.2500 0.6250 W
0.2500 0.6869 0.8750 W
0.2500 0.8131 0.3750 W
0.3131 0.2500 0.1250 W
0.6869 0.7500 0.1250 W
0.7500 0.1869 0.3750 W
0.7500 0.3131 0.8750 W
0.8131 0.7500 0.6250 W
0.0000 0.0000 0.5000 O
0.0000 0.5000 0.7500 O
0.5000 0.0000 0.2500 O
0.5000 0.5000 0.0000 O
```

Summary:
For the calculated total energy, the calculation gives -5.86 eV/atom. The value obtained for the excess energy over the best structure of this formula in the dataset is 0.0 meV/atom.

(16)
A geometry-optimized SiWO3 structure. Source: Alexandria via LeMat-Bulk, functional GGA+U.

```
SiWO3
1.0
3.6320 0.0000 0.0000
0.0000 3.6320 0.0000
0.0000 0.0000 3.6320
Si W O
1 1 3
Direct
0.0000 0.0000 0.0000 Si
0.5000 0.5000 0.5000 W
0.0000 0.0000 0.5000 O
0.0000 0.5000 0.0000 O
0.5000 0.0000 0.0000 O
```

Summary:
For the calculated total energy, the calculation gives -6.54 eV/atom.

(17)
A geometry-optimized SiWO2 structure. Source: Alexandria via LeMat-Bulk, functional GGA+U.

```
SiWO2
1.0
4.7057 0.0000 0.0000
0.0000 4.7057 0.0000
0.0000 0.0000 8.7903
Si W O
4 4 8
Direct
0.0000 0.0000 0.0000 Si
0.0000 0.5000 0.2500 Si
0.5000 0.0000 0.7500 Si
0.5000 0.5000 0.5000 Si
0.0000 0.0000 0.5000 W
0.0000 0.5000 0.7500 W
0.5000 0.0000 0.2500 W
0.5000 0.5000 0.0000 W
0.1334 0.2500 0.1250 O
0.2500 0.6334 0.3750 O
0.2500 0.8666 0.8750 O
0.3666 0.2500 0.6250 O
0.6334 0.7500 0.6250 O
0.7500 0.1334 0.8750 O
0.7500 0.3666 0.3750 O
0.8666 0.7500 0.1250 O
```

Summary:
For the calculated total energy, the calculation gives -6.11 eV/atom.

(18)
A geometry-optimized Si3WO structure. Source: Alexandria via LeMat-Bulk, functional GGA+U.

```
Si3WO
1.0
4.0798 0.0000 0.0000
0.0000 4.0798 0.0000
0.0000 0.0000 4.0798
Si W O
3 1 1
Direct
0.0000 0.0000 0.5000 Si
0.0000 0.5000 0.0000 Si
0.5000 0.0000 0.0000 Si
0.5000 0.5000 0.5000 W
0.0000 0.0000 0.0000 O
```

Summary:
For the calculated total energy, the calculation gives -5.39 eV/atom. The value obtained for the excess energy over the best structure of this formula in the dataset is 0.0 meV/atom.

(19)
A geometry-optimized Si2WO6 structure. Source: Alexandria via LeMat-Bulk, functional GGA+U.

```
Si2WO6
1.0
4.9314 -4.6134 0.0000
4.9314 4.6134 0.0000
-1.8846 0.0000 5.1005
Si W O
4 2 12
Direct
0.1135 0.2754 0.2453 Si
0.2754 0.1135 0.7453 Si
0.7246 0.8865 0.2547 Si
0.8865 0.7246 0.7547 Si
0.3932 0.6068 0.7500 W
0.6068 0.3932 0.2500 W
0.1058 0.6124 0.7918 O
0.1391 0.1427 0.4640 O
0.1427 0.1391 0.9640 O
0.3125 0.4409 0.3624 O
0.3876 0.8942 0.7082 O
0.4409 0.3125 0.8624 O
0.5591 0.6875 0.1376 O
0.6124 0.1058 0.2918 O
0.6875 0.5591 0.6376 O
0.8573 0.8609 0.0360 O
0.8609 0.8573 0.5360 O
0.8942 0.3876 0.2082 O
```

Summary:
For the calculated total energy, the calculation gives -7.77 eV/atom.

(20)
A geometry-optimized SiWO2 structure. Source: Alexandria via LeMat-Bulk, functional GGA+U.

```
SiWO2
1.0
2.7964 0.0000 0.0000
-1.3982 2.4218 0.0000
0.0000 0.0000 20.1611
Si W O
3 3 6
Direct
0.0000 0.0000 0.0000 Si
0.3333 0.6667 0.6667 Si
0.6667 0.3333 0.3333 Si
0.0000 0.0000 0.5000 W
0.3333 0.6667 0.1667 W
0.6667 0.3333 0.8333 W
0.0000 0.0000 0.0946 O
0.0000 0.0000 0.9054 O
0.3333 0.6667 0.5720 O
0.3333 0.6667 0.7613 O
0.6667 0.3333 0.2387 O
0.6667 0.3333 0.4280 O
```

Summary:
For the calculated total energy, the calculation gives -6.57 eV/atom.